A plane-wave DFT calculation with PBE was carried out for crystalline CsFe3Cu at its relaxed geometry.

Lattice parameters (Å, degrees): 4.7729 4.7729 4.7729 90.00 90.00 90.00
Last column: nearest neighbours and their distance in Å.
Atoms (fractional coordinates):
Cs1 0.5000 0.5000 0.5000  12 Fe 3.37
Cu1 0.0000 0.0000 0.0000  6 Fe 2.39
Fe1 0.0000 0.5000 0.0000  2 Cu 2.39
Fe2 0.0000 0.0000 0.5000  2 Cu 2.39
Fe3 0.5000 0.0000 0.0000  2 Cu 2.39

Results
D(E_F)	12.65	states/eV/cell
excess energy over the best structure of this formula in the dataset	0.0	meV/atom

=====

A plane-wave DFT calculation with PBE was carried out for crystalline Cs2FeCu2 at its relaxed geometry.

Lattice parameters (Å, degrees): 6.8873 6.8873 6.1398 55.88 55.88 90.00
Last column: nearest neighbours and their distance in Å.
Atoms (fractional coordinates):
Cu1 0.6635 0.6635 0.6731  1 Cu 2.44, 1 Fe 2.52
Fe1 0.0000 0.0000 0.0000  2 Cu 2.52
Cs1 0.2500 0.7500 0.5000  4 Cu 3.50, 2 Cs 3.74, 4 Fe 3.92
Cs2 0.7500 0.2500 0.5000  4 Cu 3.50, 2 Cs 3.74, 4 Fe 3.92
Cu2 0.3365 0.3365 0.3269  1 Cu 2.44, 1 Fe 2.52

Results
D(E_F)	4.01	states/eV/cell
excess energy over the best structure of this formula in the dataset	0.0	meV/atom

=====

A plane-wave DFT calculation with PBE was carried out for crystalline CsFeCu2 at its relaxed geometry.

Lattice parameters (Å, degrees): 5.0897 5.0897 5.0897 60.00 60.00 60.00
Last column: nearest neighbours and their distance in Å.
Atoms (fractional coordinates):
Cu1 0.7500 0.7500 0.7500  4 Cs 3.12, 4 Fe 3.12
Fe1 0.0000 0.0000 0.0000  8 Cu 3.12
Cs1 0.5000 0.5000 0.5000  8 Cu 3.12
Cu2 0.2500 0.2500 0.2500  4 Fe 3.12, 4 Cs 3.12

Results
D(E_F)	8.25	states/eV/cell

=====

A plane-wave DFT calculation with PBE was carried out for crystalline CsFe3Cu at its relaxed geometry.

Lattice parameters (Å, degrees): 4.7958 4.7958 4.7958 90.00 90.00 90.00
Last column: nearest neighbours and their distance in Å.
Atoms (fractional coordinates):
Cs1 0.0000 0.0000 0.0000  6 Fe 2.40
Fe1 0.0000 0.0000 0.5000  2 Cs 2.40
Cu1 0.5000 0.5000 0.5000  12 Fe 3.39
Fe2 0.5000 0.0000 0.0000  2 Cs 2.40
Fe3 0.0000 0.5000 0.0000  2 Cs 2.40

Results
D(E_F)	5.67	states/eV/cell
excess energy over the best structure of this formula in the dataset	1313.7	meV/atom

=====

| no. | calculated density (g/cm3) | formation energy (eV per atom) |
| --- | --- | --- |
| 1 | 5.6 | 1.36 |
| 2 | 4.2 | 0.84 |
| 3 | 5.6 | 1.36 |
| 4 | 5.5 | 2.68 |